No. 1
Material: ReSi2P
Method: DFT, PBE
State: optimized geometry

Calculated values
calculated volume = 13.91 A^3/atom
raw total energy = -26.82 eV for the cell shown
uncorrected formation energy = 0.47 eV/atom

abc: 3.067 4.549 3.989
angles: 90.00 90.00 90.00
Atoms (fractional coordinates):
1 P 0.500 0.000 0.500
2 Re 0.000 0.500 0.500
3 Si 0.000 0.000 0.000
4 Si 0.500 0.500 0.000

=====

No. 2
Material: ReSi2P
Method: DFT, PBE
State: optimized geometry

Calculated values
calculated volume = 14.16 A^3/atom
raw total energy = -28.26 eV for the cell shown
uncorrected formation energy = 0.11 eV/atom

abc: 7.117 7.117 7.117
angles: 25.00 25.00 25.00
Atoms (fractional coordinates):
1 P 0.250 0.250 0.250
2 Re 0.750 0.750 0.750
3 Si 0.997 0.997 0.997
4 Si 0.503 0.503 0.503